Zn2CrAg, optimized geometry, DFT PBEsol; calculated formation energy = 0.169 eV/atom; space-group type = Fm-3m (225); total energy = -64.2 eV/cell
1.0
6.1242 0.0000 0.0000
0.0000 6.1242 0.0000
0.0000 0.0000 6.1242
Zn Cr Ag
8 4 4
Direct
0.2500 0.2500 0.2500
0.2500 0.2500 0.7500
0.2500 0.7500 0.2500
0.2500 0.7500 0.7500
0.7500 0.2500 0.2500
0.7500 0.2500 0.7500
0.7500 0.7500 0.2500
0.7500 0.7500 0.7500
0.0000 0.0000 0.0000
0.0000 0.5000 0.5000
0.5000 0.0000 0.5000
0.5000 0.5000 0.0000
0.0000 0.0000 0.5000
0.0000 0.5000 0.0000
0.5000 0.0000 0.0000
0.5000 0.5000 0.5000